1.
The following is a PBEsol calculation of a relaxed DyRh crystal, from the Alexandria database.

Cell lengths 3.367, 3.367, 3.367 Å; angles 90.00, 90.00, 90.00 degrees
Positions (direct):
Rh: 0.500 0.500 0.500
Dy: 0.000 0.000 0.000

Results
SG   No. 221
DFT formation energy   -0.83 eV per atom


2.
The following is a PBEsol calculation of a relaxed MnCo4As crystal, from the Alexandria database.

Cell lengths 4.638, 4.638, 4.638 Å; angles 60.00, 60.00, 60.00 degrees
Last column: magnetic moment on the atom in μB.
Positions (direct):
As: 0.000 0.000 0.000  -0.01
Co: 0.375 0.375 0.375  1.37
Co: 0.375 0.375 0.875  1.37
Co: 0.875 0.375 0.375  1.37
Co: 0.375 0.875 0.375  1.37
Mn: 0.750 0.750 0.750  3.32

Results
SG   No. 216
DFT formation energy   0.23 eV per atom


3.
The following is a PBEsol calculation of a relaxed MgAg3 crystal, from the Alexandria database.

Cell lengths 3.031, 4.840, 5.016 Å; angles 102.49, 107.58, 90.00 degrees
Positions (direct):
Mg: 0.000 0.500 0.000
Ag: 0.250 0.249 0.499
Ag: 0.750 0.751 0.501
Ag: 0.500 0.000 0.000

Results
SG   No. 12
DFT formation energy   -0.13 eV per atom


4.
The following is a PBEsol calculation of a relaxed MnZn crystal, from the Alexandria database.

Cell lengths 3.986, 3.986, 3.986 Å; angles 60.00, 60.00, 60.00 degrees
Last column: magnetic moment on the atom in μB.
Positions (direct):
Mn: 0.000 0.000 0.000  3.85
Zn: 0.250 0.250 0.250  0.01

Results
SG   No. 216
DFT formation energy   1.42 eV per atom


5.
The following is a PBEsol calculation of a relaxed KScAs2Br crystal, from the Alexandria database.

Cell lengths 5.202, 5.202, 5.361 Å; angles 90.00, 90.00, 90.00 degrees
Positions (direct):
Sc: 0.500 0.500 0.500
As: 0.000 0.500 0.000
As: 0.500 0.000 0.000
K: 0.000 0.000 0.000
Br: 0.000 0.000 0.500

Results
SG   No. 123
Formation energy (no corrections)   0.777 eV per atom


6.
The following is a PBEsol calculation of a relaxed RbZnCo2Bi crystal, from the Alexandria database.

Cell lengths 4.686, 4.686, 5.325 Å; angles 90.00, 90.00, 90.00 degrees
Last column: magnetic moment on the atom in μB.
Positions (direct):
Zn: 0.000 0.000 0.000  -0.06
Co: 0.000 0.500 0.000  1.79
Co: 0.500 0.000 0.000  1.79
Bi: 0.500 0.500 0.500  -0.01
Rb: 0.000 0.000 0.500  0.00

Results
SG   No. 123
DFT formation energy   1.22 eV per atom


7.
The following is a PBEsol calculation of a relaxed LiMgBe crystal, from the Alexandria database.

Cell lengths 3.077, 3.077, 5.138 Å; angles 107.42, 107.42, 90.00 degrees
Positions (direct):
Be: 0.989 0.989 0.977
Mg: 0.656 0.656 0.313
Li: 0.355 0.355 0.710

Results
SG   No. 107
DFT formation energy   0.22 eV per atom


8.
The following is a PBEsol calculation of a relaxed SrMnZn2Cr crystal, from the Alexandria database.

Cell lengths 4.197, 4.876, 4.876 Å; angles 90.00, 90.00, 90.00 degrees
Last column: magnetic moment on the atom in μB.
Positions (direct):
Sr: 0.500 0.500 0.500  0.04
Zn: 0.000 0.000 0.500  -0.01
Zn: 0.000 0.500 0.000  -0.01
Mn: 0.500 0.000 0.000  2.88
Cr: 0.000 0.000 0.000  -1.63

Results
SG   No. 123
DFT formation energy   0.43 eV per atom


What did the first record say?
The following is a PBEsol calculation of a relaxed DyRh crystal, from the Alexandria database.

Cell lengths 3.367, 3.367, 3.367 Å; angles 90.00, 90.00, 90.00 degrees
Positions (direct):
Rh: 0.500 0.500 0.500
Dy: 0.000 0.000 0.000

Results
SG   No. 221
DFT formation energy   -0.83 eV per atom